# 1
The following is a DFT calculation (PBEsol) of an optimized crystal structure of Cr2ReRu.

Computed properties:
mass density	12.9	g/cm3
calculated volume	50	Å³/cell
SG	Imm2, No. 44
D(E_F)	0.932	states/eV/atom
final energy	-43.58	eV/cell
ΔH_f (0 K)	0.102	eV/atom

Unit cell a=4.8874 b=4.8874 c=4.8874 alpha=145.71 beta=129.08 gamma=62.83
Sites, in units of the cell vectors:
Cr (0.0000, 0.0000, 0.0000)
Cr (0.7883, 0.2883, 0.5000)
Re (0.2569, 0.7569, 0.5000)
Ru (0.5288, 0.5288, 0.0000)

***

# 2
The following is a DFT calculation (PBEsol) of an optimized crystal structure of YZrW2.

Computed properties:
mass density	11.6	g/cm3
calculated volume	78	Å³/cell
SG	Pm, No. 6
excess energy over the best structure of this formula in the dataset	0	meV per atom
D(E_F)	1.041	states/eV/atom
final energy	-42.05	eV/cell
ΔH_f (0 K)	0.370	eV/atom

Unit cell a=2.9802 b=4.3995 c=6.0983 alpha=90.00 beta=101.90 gamma=90.00
Sites, in units of the cell vectors:
Y (0.0000, 0.0000, 0.0000)
Zr (0.7193, 0.5000, 0.2954)
W (0.2721, 0.5000, 0.7289)
W (0.4645, 0.0000, 0.5360)